Version one
# Li2PWO4F

A geometry-optimized Li2PWO4F structure (PBE+U, the Alexandria database).

Results
- Fermi-level density of states: 0.00 states/eV/f.u.

Cell and atoms, written as CIF:
```
data_Li2PWO4F
_chemical_formula_sum 'Li4 P2 W2 O8 F2'
_space_group_name_H-M_alt 'P 1'
_space_group_IT_number 1
_space_group_name_Hall 'P 1'
_cell_length_a 5.191
_cell_length_b 5.851
_cell_length_c 7.704
_cell_angle_alpha 75.00
_cell_angle_beta 77.61
_cell_angle_gamma 83.03
loop_
_atom_site_label
_atom_site_type_symbol
_atom_site_fract_x
_atom_site_fract_y
_atom_site_fract_z
_atom_site_occupancy
O1 O 0.319 0.935 0.778 1
O2 O 0.683 0.216 0.124 1
O3 O 0.113 0.746 0.582 1
O4 O 0.682 0.584 0.246 1
O5 O 0.758 0.186 0.447 1
O6 O 0.196 0.503 0.897 1
O7 O 0.297 0.305 0.362 1
O8 O 0.587 0.636 0.636 1
W1 W 0.026 0.187 0.885 1
W2 W 0.944 0.445 0.538 1
Li1 Li 0.716 0.932 0.679 1
Li2 Li 0.107 0.024 0.369 1
Li3 Li 0.540 0.896 0.123 1
Li4 Li 0.022 0.665 0.088 1
F1 F 0.806 0.890 0.915 1
F2 F 0.171 0.909 0.158 1
P1 P 0.600 0.328 0.291 1
P2 P 0.302 0.700 0.724 1
```

---

Version two
# Li2PWO4F

A geometry-optimized Li2PWO4F structure (PBE+U, the Alexandria database).

Results
- Fermi-level density of states: 0.00 states/eV/f.u.

Cell and atoms, written as CIF:
```
data_Li2PWO4F
_chemical_formula_sum 'Li4 P2 W2 O8 F2'
_space_group_name_H-M_alt 'P 1'
_space_group_IT_number 1
_space_group_name_Hall 'P 1'
_cell_length_a 5.530
_cell_length_b 5.747
_cell_length_c 7.990
_cell_angle_alpha 114.56
_cell_angle_beta 99.72
_cell_angle_gamma 98.38
loop_
_atom_site_label
_atom_site_type_symbol
_atom_site_fract_x
_atom_site_fract_y
_atom_site_fract_z
_atom_site_occupancy
O1 O 0.602 0.114 0.263 1
O2 O 0.300 0.295 0.700 1
O3 O 0.300 0.711 0.647 1
O4 O 0.192 0.695 0.940 1
O5 O 0.642 0.698 0.896 1
O6 O 0.323 0.328 0.109 1
O7 O 0.745 0.281 0.037 1
O8 O 0.703 0.611 0.365 1
Li1 Li 0.539 0.064 0.761 1
Li2 Li 0.870 0.463 0.899 1
Li3 Li 0.451 0.194 0.471 1
Li4 Li 0.395 0.741 0.202 1
W1 W 0.987 0.006 0.978 1
W2 W 0.002 0.923 0.598 1
P1 P 0.597 0.329 0.200 1
P2 P 0.356 0.602 0.794 1
F1 F 0.747 0.182 0.628 1
F2 F 0.178 0.893 0.354 1
```

---

Compare the structures above. Which one is the most stable? version one is.